1.
The following is a GGA-PBE calculation of a relaxed structure of DyHo12Sc2, from the Alexandria database.

a = 3.5347 Å, b = 4.7966 Å, c = 27.4465 Å
α = 90.00°, β = 93.66°, γ = 90.00°
Closest atoms and distances in Å follow each position.
Space group P2/m (No. 10)
Inequivalent atoms, fractional coordinates:
1 Dy 0.0000 0.0000 0.0000  10 Ho 3.48-3.58, 2 Dy 3.53
2 Ho 0.0650 0.0000 0.1306  10 Ho 3.47-3.53, 1 Sc 3.48, 1 Dy 3.58
3 Ho 0.1902 0.0000 0.3818  1 Sc 3.40, 10 Ho 3.42-3.53
4 Ho 0.2768 0.5000 0.5529  9 Ho 3.39-3.53
5 Ho 0.3413 0.5000 0.6799  8 Ho 3.41-3.53, 4 Sc 3.44
6 Ho 0.4028 0.5000 0.8042  8 Ho 3.41-3.57, 4 Sc 3.43
7 Ho 0.4667 0.5000 0.9344  8 Ho 3.47-3.59, 4 Dy 3.48
8 Sc 0.1277 0.0000 0.2576  10 Ho 3.40-3.48, 2 Sc 3.53

Values from the calculation:
- total magnetic moment (μB/cell) = 0.00



2.
The following is a GGA-PBE calculation of a relaxed structure of Ca2Mg, from the Alexandria database.

a = 9.7164 Å, b = 9.7164 Å, c = 9.7164 Å
α = 90.00°, β = 90.00°, γ = 90.00°
Closest atoms and distances in Å follow each position.
Space group Fd-3m (No. 227, origin choice 2)
Inequivalent atoms, fractional coordinates:
1 Ca 0.0000 0.0000 0.0000  6 Ca 3.44
2 Mg 0.1250 0.1250 0.6250  12 Ca 4.03, 4 Mg 4.21

Values from the calculation:
- total magnetic moment (μB/cell) = 0.00



3.
The following is a GGA-PBE calculation of a relaxed structure of Na2Br2O7, from the Alexandria database.

a = 8.1376 Å, b = 9.2655 Å, c = 4.9830 Å
α = 90.00°, β = 105.92°, γ = 90.00°
Closest atoms and distances in Å follow each position.
Space group C2/m (No. 12)
Inequivalent atoms, fractional coordinates:
1 Na 0.0000 0.1983 0.0000  6 O 2.40-2.65
2 Br 0.2236 0.5000 0.4052  3 O 1.67-1.68
3 O 0.0000 0.5000 0.5000  2 Br 2.00
4 O 0.1125 0.0000 0.3067  1 Br 1.67
5 O 0.2439 0.3538 0.2186  1 Br 1.68

Values from the calculation:
- E_form (uncorrected) (eV/atom) = -0.329
- excess energy over the best structure of this formula in the dataset (eV/f.u.) = 0.83
- total magnetic moment (μB/cell) = 0.00



4.
The following is a GGA-PBE calculation of a relaxed structure of CsFeSi2, from the Alexandria database.

a = 6.9146 Å, b = 6.9146 Å, c = 9.7517 Å
α = 90.00°, β = 90.00°, γ = 90.00°
Closest atoms and distances in Å follow each position.
Space group I4_1/amd (No. 141, origin choice 2)
Inequivalent atoms, fractional coordinates:
1 Cs 0.0000 0.2500 0.3750  12 Si 4.04-4.05, 4 Fe 4.23, 4 Cs 4.23
2 Fe 0.0000 0.2500 0.8750  4 Si 2.12
3 Si 0.0000 0.0000 0.0000  2 Fe 2.12

Values from the calculation:
- E_form (uncorrected) (eV/atom) = 0.054
- excess energy over the best structure of this formula in the dataset (eV/f.u.) = 0.00
- total magnetic moment (μB/cell) = 0.00



5.
The following is a GGA-PBE calculation of a relaxed structure of Y2NbGaFe, from the Alexandria database.

a = 5.2140 Å, b = 5.2140 Å, c = 4.4849 Å
α = 90.00°, β = 90.00°, γ = 90.00°
Closest atoms and distances in Å follow each position.
Space group P4/mmm (No. 123)
Inequivalent atoms, fractional coordinates:
1 Y 0.0000 0.5000 0.0000  2 Fe 2.61
2 Nb 0.0000 0.0000 0.5000  2 Fe 2.24
3 Ga 0.5000 0.5000 0.5000  8 Y 3.44, 4 Nb 3.69
4 Fe 0.0000 0.0000 0.0000  2 Nb 2.24

Values from the calculation:
- excess energy over the best structure of this formula in the dataset (eV/f.u.) = 0.00
- total magnetic moment (μB/cell) = 0.00



6.
The following is a GGA-PBE calculation of a relaxed structure of PrSm2DyHo, from the Alexandria database.

a = 8.3916 Å, b = 6.5993 Å, c = 6.2289 Å
α = 90.00°, β = 93.77°, γ = 90.00°
Closest atoms and distances in Å follow each position.
Space group P2/c (No. 13)
Inequivalent atoms, fractional coordinates:
1 Pr 0.0000 0.0000 0.0000  2 Pr 3.11, 2 Dy 3.25
2 Sm 0.3094 0.3104 0.2293  1 Dy 3.12, 1 Sm 3.19
3 Dy 0.0000 0.4315 0.7500  2 Sm 3.12, 2 Dy 3.24, 2 Pr 3.25
4 Ho 0.5000 0.1624 0.7500  8 Sm 3.50-3.83, 2 Ho 3.78

Values from the calculation:
- total magnetic moment (μB/cell) = 0.00



7.
The following is a GGA-PBE calculation of a relaxed structure of CaBeAlAu2, from the Alexandria database.

a = 4.0412 Å, b = 4.0412 Å, c = 11.7272 Å
α = 90.00°, β = 90.00°, γ = 90.00°
Closest atoms and distances in Å follow each position.
Space group I-4m2 (No. 119)
Inequivalent atoms, fractional coordinates:
1 Ca 0.0000 0.0000 0.0000  8 Au 3.20, 4 Be 3.56, 4 Al 3.56
2 Be 0.0000 0.5000 0.2500  4 Au 2.52
3 Al 0.0000 0.5000 0.7500  4 Au 2.52
4 Au 0.0000 0.0000 0.3777  2 Be 2.52, 2 Al 2.52

Values from the calculation:
- total magnetic moment (μB/cell) = 0.00



8.
The following is a GGA-PBE calculation of a relaxed structure of BaEuTeI, from the Alexandria database.

a = 8.2919 Å, b = 8.2919 Å, c = 8.2919 Å
α = 90.00°, β = 90.00°, γ = 90.00°
Closest atoms and distances in Å follow each position.
Space group F-43m (No. 216)
Inequivalent atoms, fractional coordinates:
1 Ba 0.0000 0.0000 0.0000  4 Te 3.59, 4 I 3.59
2 Eu 0.0000 0.0000 0.5000  4 Te 3.59, 4 I 3.59
3 Te 0.2500 0.2500 0.7500  4 Ba 3.59, 4 Eu 3.59
4 I 0.2500 0.2500 0.2500  4 Ba 3.59, 4 Eu 3.59

Values from the calculation:
- E_form (uncorrected) (eV/atom) = -1.351
- total magnetic moment (μB/cell) = 31.76



9.
The following is a GGA-PBE calculation of a relaxed structure of NaZnI3, from the Alexandria database.

a = 5.7076 Å, b = 5.7076 Å, c = 5.7076 Å
α = 90.00°, β = 90.00°, γ = 90.00°
Closest atoms and distances in Å follow each position.
Space group Pm-3m (No. 221)
Inequivalent atoms, fractional coordinates:
1 Na 0.0000 0.0000 0.0000  12 I 4.04
2 Zn 0.5000 0.5000 0.5000  6 I 2.85
3 I 0.0000 0.5000 0.5000  2 Zn 2.85

Values from the calculation:
- E_form (uncorrected) (eV/atom) = -0.572
- excess energy over the best structure of this formula in the dataset (eV/f.u.) = 0.36
- total magnetic moment (μB/cell) = 0.00



10.
The following is a GGA-PBE calculation of a relaxed structure of Tm2ZrAg, from the Alexandria database.

a = 3.4130 Å, b = 3.4130 Å, c = 30.1051 Å
α = 90.00°, β = 90.00°, γ = 120.00°
Closest atoms and distances in Å follow each position.
Space group R3m (No. 160, hexagonal axes)
Inequivalent atoms, fractional coordinates:
1 Tm 0.0000 0.0000 0.0000  3 Ag 3.11, 3 Zr 3.27, 6 Tm 3.41
2 Tm 0.0000 0.0000 0.1734  3 Ag 3.11, 3 Zr 3.27, 6 Tm 3.41
3 Zr 0.0000 0.0000 0.7535  6 Tm 3.27, 6 Zr 3.41
4 Ag 0.0000 0.0000 0.5867  6 Tm 3.11, 6 Ag 3.41

Values from the calculation:
- excess energy over the best structure of this formula in the dataset (eV/f.u.) = 0.59
- total magnetic moment (μB/cell) = 0.00



11.
The following is a GGA-PBE calculation of a relaxed structure of Sr4CuPd3, from the Alexandria database.

a = 4.3075 Å, b = 4.5140 Å, c = 11.5534 Å
α = 90.00°, β = 90.00°, γ = 90.00°
Closest atoms and distances in Å follow each position.
Space group Pmm2 (No. 25)
Inequivalent atoms, fractional coordinates:
1 Sr 0.0000 0.0000 0.0000  6 Pd 3.19-3.23, 1 Cu 3.55
2 Sr 0.0000 0.5000 0.2723  7 Pd 3.21-3.49
3 Sr 0.5000 0.0000 0.4910  2 Cu 3.17, 5 Pd 3.26
4 Sr 0.5000 0.5000 0.7747  3 Pd 3.16-3.29, 4 Cu 3.26
5 Cu 0.0000 0.0000 0.6928  2 Pd 2.64
6 Pd 0.0000 0.5000 0.5743  2 Cu 2.64
7 Pd 0.5000 0.0000 0.2087  2 Pd 2.84
8 Pd 0.5000 0.5000 0.0593  2 Pd 2.84

Values from the calculation:
- total magnetic moment (μB/cell) = 0.00



12.
The following is a GGA-PBE calculation of a relaxed structure of AlBi2BAs, from the Alexandria database.

a = 5.5666 Å, b = 5.5666 Å, c = 3.9981 Å
α = 90.00°, β = 90.00°, γ = 90.00°
Closest atoms and distances in Å follow each position.
Space group P4/mmm (No. 123)
Inequivalent atoms, fractional coordinates:
1 Al 0.0000 0.0000 0.0000  2 B 2.00
2 Bi 0.0000 0.5000 0.0000  2 Al 2.78
3 B 0.0000 0.0000 0.5000  2 Al 2.00
4 As 0.5000 0.5000 0.5000  8 Bi 3.43

Values from the calculation:
- total magnetic moment (μB/cell) = 0.00



13.
The following is a GGA-PBE calculation of a relaxed structure of Sr2YSn3Pt4, from the Alexandria database.

a = 4.6732 Å, b = 4.6732 Å, c = 11.1914 Å
α = 90.00°, β = 90.00°, γ = 90.00°
Closest atoms and distances in Å follow each position.
Space group P-4m2 (No. 115)
Inequivalent atoms, fractional coordinates:
1 Sr 0.0000 0.5000 0.2290  8 Pt 3.47-3.60, 6 Sn 3.52-3.83, 2 Y 3.83
2 Y 0.0000 0.0000 0.5000  4 Pt 2.83
3 Sn 0.0000 0.5000 0.8795  5 Pt 2.65-2.70
4 Sn 0.5000 0.5000 0.5000  4 Pt 2.83
5 Pt 0.0000 0.0000 0.0000  4 Sn 2.70
6 Pt 0.0000 0.5000 0.6429  3 Sn 2.65-2.83, 2 Y 2.83
7 Pt 0.5000 0.5000 0.0000  4 Sn 2.70

Values from the calculation:
- total magnetic moment (μB/cell) = 0.00



14.
The following is a GGA-PBE calculation of a relaxed structure of Li2PrYS4, from the Alexandria database.

a = 6.6217 Å, b = 4.0063 Å, c = 6.9424 Å
α = 90.00°, β = 110.45°, γ = 90.00°
Closest atoms and distances in Å follow each position.
Space group P2/m (No. 10)
Inequivalent atoms, fractional coordinates:
1 Li 0.0000 0.0000 0.0000  6 S 2.73-2.74
2 Li 0.0000 0.5000 0.5000  6 S 2.80-2.82
3 Pr 0.5000 0.0000 0.5000  6 S 2.83-2.85
4 Y 0.5000 0.5000 0.0000  6 S 2.75-2.77
5 S 0.2437 0.5000 0.2385  3 Li 2.74-2.82, 1 Y 2.75, 2 Pr 2.83
6 S 0.2475 0.0000 0.7580  3 Li 2.73-2.80, 2 Y 2.77, 1 Pr 2.85

Values from the calculation:
- E_form (uncorrected) (eV/atom) = -1.800
- total magnetic moment (μB/cell) = 0.00



15.
The following is a GGA-PBE calculation of a relaxed structure of BaSr2Li, from the Alexandria database.

a = 15.0662 Å, b = 4.3579 Å, c = 6.7262 Å
α = 90.00°, β = 116.46°, γ = 90.00°
Closest atoms and distances in Å follow each position.
Space group C2/m (No. 12)
Inequivalent atoms, fractional coordinates:
1 Ba 0.0000 0.0000 0.0000  4 Li 4.01, 2 Ba 4.36, 8 Sr 4.40-4.46
2 Sr 0.2111 0.0000 0.7112  2 Li 3.59
3 Li 0.0000 0.5000 0.5000  4 Sr 3.59, 4 Ba 4.01

Values from the calculation:
- excess energy over the best structure of this formula in the dataset (eV/f.u.) = 0.07
- total magnetic moment (μB/cell) = 0.00



16.
The following is a GGA-PBE calculation of a relaxed structure of La5PmPr4, from the Alexandria database.

a = 7.0776 Å, b = 12.3639 Å, c = 8.5913 Å
α = 90.00°, β = 90.00°, γ = 90.00°
Closest atoms and distances in Å follow each position.
Space group Pmmn (No. 59, origin choice 2)
Inequivalent atoms, fractional coordinates:
1 La 0.0015 0.1035 0.1227  5 La 3.32-3.62, 1 Pm 3.50, 1 Pr 3.65
2 La 0.2500 0.2500 0.4005  4 Pr 3.17-3.51, 4 La 3.47, 2 Pm 3.54
3 Pm 0.2500 0.7500 0.5963  4 Pr 3.25-3.49, 6 La 3.50-3.54
4 Pr 0.0002 0.2500 0.7536  1 Pm 3.49, 3 La 3.51-3.65, 2 Pr 3.54
5 Pr 0.2500 0.0065 0.5155  1 La 3.17, 1 Pm 3.25

Values from the calculation:
- excess energy over the best structure of this formula in the dataset (eV/f.u.) = 0.96
- total magnetic moment (μB/cell) = 0.00



17.
The following is a GGA-PBE calculation of a relaxed structure of Ti7N5, from the Alexandria database.

a = 9.8053 Å, b = 2.9494 Å, c = 9.2952 Å
α = 90.00°, β = 103.97°, γ = 90.00°
Closest atoms and distances in Å follow each position.
Space group C2/m (No. 12)
Inequivalent atoms, fractional coordinates:
1 Ti 0.0000 0.0000 0.0000  4 N 2.10
2 Ti 0.0365 0.5000 0.2869  4 N 2.10-2.17
3 Ti 0.1546 0.0000 0.5571  5 N 2.09-2.19
4 Ti 0.2333 0.0000 0.8614  3 N 2.03-2.17
5 N 0.0000 0.5000 0.5000  6 Ti 2.09-2.10
6 N 0.1182 0.5000 0.9239  6 Ti 2.03-2.17
7 N 0.1976 0.0000 0.3368  5 Ti 2.13-2.19

Values from the calculation:
- E_form (uncorrected) (eV/atom) = -1.375
- total magnetic moment (μB/cell) = 0.00



18.
The following is a GGA-PBE calculation of a relaxed structure of PmAgGe, from the Alexandria database.

a = 4.5317 Å, b = 4.5317 Å, c = 3.8109 Å
α = 90.00°, β = 90.00°, γ = 120.00°
Closest atoms and distances in Å follow each position.
Space group P-6m2 (No. 187)
Inequivalent atoms, fractional coordinates:
1 Pm 0.0000 0.0000 0.0000  6 Ag 3.24, 6 Ge 3.24
2 Ag 0.3333 0.6667 0.5000  3 Ge 2.62
3 Ge 0.6667 0.3333 0.5000  3 Ag 2.62

Values from the calculation:
- excess energy over the best structure of this formula in the dataset (eV/f.u.) = 0.25
- total magnetic moment (μB/cell) = 0.00



19.
The following is a GGA-PBE calculation of a relaxed structure of HgSb2F2, from the Alexandria database.

a = 8.3857 Å, b = 8.3857 Å, c = 3.0031 Å
α = 90.00°, β = 90.00°, γ = 90.00°
Closest atoms and distances in Å follow each position.
Space group P4/mbm (No. 127)
Inequivalent atoms, fractional coordinates:
1 Hg 0.0000 0.0000 0.0000  4 Sb 2.99, 2 Hg 3.00
2 Sb 0.2158 0.2842 0.0000  2 F 2.35
3 F 0.1314 0.6314 0.5000  2 Sb 2.35

Values from the calculation:
- E_form (uncorrected) (eV/atom) = -0.832
- excess energy over the best structure of this formula in the dataset (eV/f.u.) = 0.00
- total magnetic moment (μB/cell) = 0.00



20.
The following is a GGA-PBE calculation of a relaxed structure of Ni3W, from the Alexandria database.

a = 4.5993 Å, b = 4.5993 Å, c = 4.5993 Å
α = 90.00°, β = 90.00°, γ = 90.00°
Closest atoms and distances in Å follow each position.
Space group Pm-3n (No. 223)
Inequivalent atoms, fractional coordinates:
1 Ni 0.0000 0.2500 0.5000  2 Ni 2.30, 4 W 2.57
2 W 0.0000 0.0000 0.0000  12 Ni 2.57

Values from the calculation:
- total magnetic moment (μB/cell) = 0.00



no.,final energy (eV per cell),calculated density (g cm⁻³)
1,-70.4,7.979
2,-37.7,1.513
3,-88.6,2.921
4,-79.8,3.489
5,-33.3,5.397
6,-44.0,7.420
7,-36.8,8.150
8,-89.2,6.336
9,-10.1,4.189
10,-61.0,8.808
11,-30.4,5.420
12,-18.6,7.113
13,-54.8,9.516
14,-46.0,3.579
15,-14.1,2.684
16,-92.2,6.198
17,-226.8,5.157
18,-13.9,7.975
19,-32.9,7.582
20,-61.1,12.286